No. 1
A plane-wave DFT calculation with PBE was carried out for a geometry-optimized Er4TlPbN2 structure.

Lattice parameters (Å, degrees): 3.5041 3.5041 15.4976 90.00 90.00 120.00
Fractional positions:
Er 0.0000 0.0000 0.1657
Er 0.0000 0.0000 0.8343
Er 0.3333 0.6667 0.3328
Er 0.3333 0.6667 0.6672
Tl 0.3333 0.6667 0.0000
Pb 0.0000 0.0000 0.5000
N 0.6667 0.3333 0.2506
N 0.6667 0.3333 0.7494

VASP energy	-6.19	eV per atom

***

No. 2
A plane-wave DFT calculation with PBE was carried out for a geometry-optimized RbCdSn structure.

Lattice parameters (Å, degrees): 7.6508 7.6508 7.6508 90.00 90.00 90.00
Fractional positions:
Rb 0.0000 0.0000 0.0000
Rb 0.0000 0.5000 0.5000
Rb 0.5000 0.0000 0.5000
Rb 0.5000 0.5000 0.0000
Cd 0.2500 0.2500 0.2500
Cd 0.2500 0.7500 0.7500
Cd 0.7500 0.2500 0.7500
Cd 0.7500 0.7500 0.2500
Sn 0.0000 0.0000 0.5000
Sn 0.0000 0.5000 0.0000
Sn 0.5000 0.0000 0.0000
Sn 0.5000 0.5000 0.5000

relative energy among the computed polymorphs	304	meV/atom
VASP energy	-1.83	eV per atom

***

No. 3
A plane-wave DFT calculation with PBE was carried out for a geometry-optimized Ta structure.

Lattice parameters (Å, degrees): 2.9472 2.9472 9.9466 90.00 90.00 120.00
Fractional positions:
Ta 0.0000 0.0000 0.0000
Ta 0.0000 0.0000 0.5000
Ta 0.3333 0.6667 0.2500
Ta 0.6667 0.3333 0.7500

relative energy among the computed polymorphs	253	meV/atom
VASP energy	-11.60	eV per atom
formation enthalpy at 0 K	253.4	meV per atom

***

No. 4
A plane-wave DFT calculation with PBE was carried out for a geometry-optimized Cs4CuAgP2 structure.

Lattice parameters (Å, degrees): 7.7375 11.0261 6.5433 90.00 90.51 90.00
Fractional positions:
Cs 0.1476 0.1696 0.2480
Cs 0.1476 0.8304 0.2480
Cs 0.3524 0.3304 0.7520
Cs 0.3524 0.6696 0.7520
Cs 0.6476 0.3304 0.2480
Cs 0.6476 0.6696 0.2480
Cs 0.8524 0.1696 0.7520
Cs 0.8524 0.8304 0.7520
Cu 0.0000 0.5000 0.0000
Cu 0.5000 0.0000 0.0000
Ag 0.0000 0.5000 0.5000
Ag 0.5000 0.0000 0.5000
P 0.2187 0.5000 0.2295
P 0.2813 0.0000 0.7705
P 0.7187 0.0000 0.2295
P 0.7813 0.5000 0.7705

VASP energy	-2.88	eV per atom

***

No. 5
A plane-wave DFT calculation with PBE was carried out for a geometry-optimized AgOsPb2 structure.

Lattice parameters (Å, degrees): 7.0463 7.0463 7.0463 90.00 90.00 90.00
Fractional positions:
Ag 0.0000 0.0000 0.0000
Ag 0.0000 0.5000 0.5000
Ag 0.5000 0.0000 0.5000
Ag 0.5000 0.5000 0.0000
Os 0.2500 0.2500 0.7500
Os 0.2500 0.7500 0.2500
Os 0.7500 0.2500 0.2500
Os 0.7500 0.7500 0.7500
Pb 0.0000 0.0000 0.5000
Pb 0.0000 0.5000 0.0000
Pb 0.2500 0.2500 0.2500
Pb 0.2500 0.7500 0.7500
Pb 0.5000 0.0000 0.0000
Pb 0.5000 0.5000 0.5000
Pb 0.7500 0.2500 0.7500
Pb 0.7500 0.7500 0.2500

VASP energy	-4.44	eV per atom

***

No. 6
A plane-wave DFT calculation with PBE was carried out for a geometry-optimized Li2Sc2AlGeIr2 structure.

Lattice parameters (Å, degrees): 4.4206 4.4206 6.3078 90.00 90.00 90.00
Fractional positions:
Li 0.0000 0.5000 0.2481
Li 0.5000 0.0000 0.7519
Sc 0.0000 0.0000 0.0000
Sc 0.5000 0.5000 0.5000
Al 0.0000 0.0000 0.5000
Ge 0.5000 0.5000 0.0000
Ir 0.0000 0.5000 0.7480
Ir 0.5000 0.0000 0.2520

VASP energy	-6.02	eV per atom

***

no.,density (g/cm³)
1,11.17
2,4.70
3,16.06
4,4.55
5,13.53
6,7.92